[1]
Compound: CsAg3Br4
Source: the Alexandria database
Functional: PBE-GGA
Structure: optimized geometry

The space group is Pm-3n (No. 223) and the conventional cell measures 8.0655, 8.0655 and 8.0655 Å, with angles of 90.00, 90.00 and 90.00 degrees. Symmetry generates all atoms from Cs at (0.0000, 0.0000, 0.0000), Ag at (0.0000, 0.2500, 0.5000) and Br at (0.2500, 0.2500, 0.2500).

For the formation energy from raw total energies, the calculation gives -0.61 eV per atom. The crystal system is cubic. The value obtained for the magnetic moment is 0.00 μB per formula unit. Its volume is 524.7 Å³ per cell. The value obtained for the energy above the most stable polymorph in this dataset is 30 meV/atom.

[2]
Compound: Cs6AgBr
Source: the Alexandria database
Functional: PBE-GGA
Structure: optimized geometry

The space group is P-31c (No. 163) and the conventional cell measures 9.2915, 9.2915 and 17.7444 Å, with angles of 90.00, 90.00 and 120.00 degrees. Symmetry generates all atoms from Cs at (0.0166, 0.3413, 0.1252), Ag at (0.0000, 0.0000, 0.0000) and Br at (0.3333, 0.6667, 0.2500).

For the formation energy from raw total energies, the calculation gives -0.40 eV per atom. The crystal system is trigonal. The value obtained for the magnetic moment is 0.00 μB per formula unit. Its volume is 1326.7 Å³ per cell.

[3]
Compound: CsAg2Br2
Source: the Alexandria database
Functional: PBE-GGA
Structure: optimized geometry

The space group is I4/mmm (No. 139) and the conventional cell measures 4.2593, 4.2593 and 17.3857 Å, with angles of 90.00, 90.00 and 90.00 degrees. Symmetry generates all atoms from Cs at (0.0000, 0.0000, 0.0000), Ag at (0.0000, 0.5000, 0.2500) and Br at (0.0000, 0.0000, 0.3775).

For the formation energy from raw total energies, the calculation gives -0.56 eV per atom. The crystal system is tetragonal. The value obtained for the magnetic moment is 0.00 μB per formula unit. Its volume is 315.4 Å³ per cell.

[4]
Compound: Cs8AgBr6
Source: the Alexandria database
Functional: PBE-GGA
Structure: optimized geometry

The space group is P-3 (No. 147) and the conventional cell measures 13.4626, 13.4626 and 5.3430 Å, with angles of 90.00, 90.00 and 120.00 degrees. Symmetry generates all atoms from Cs at (0.0391, 0.3328, 0.2447), Cs at (0.3333, 0.6667, 0.7534), Ag at (0.0000, 0.0000, 0.0000) and Br at (0.1324, 0.6531, 0.2544).

For the formation energy from raw total energies, the calculation gives -1.34 eV per atom. The crystal system is trigonal. The value obtained for the magnetic moment is 0.00 μB per formula unit. Its volume is 838.6 Å³ per cell.

[5]
Compound: Cs4Ag3Br12
Source: the Alexandria database
Functional: PBE-GGA
Structure: optimized geometry

The space group is Im-3 (No. 204) and the conventional cell measures 12.5374, 12.5374 and 12.5374 Å, with angles of 90.00, 90.00 and 90.00 degrees. Symmetry generates all atoms from Cs at (0.2500, 0.2500, 0.2500), Ag at (0.0000, 0.0000, 0.5000) and Br at (0.0000, 0.3573, 0.1424).

For the formation energy from raw total energies, the calculation gives -0.82 eV per atom. The crystal system is cubic. The value obtained for the magnetic moment is 0.97 μB per formula unit. Its volume is 1970.7 Å³ per cell.

[6]
Compound: CsAg3Br6
Source: the Alexandria database
Functional: PBE-GGA
Structure: optimized geometry

The space group is Cmmm (No. 65) and the conventional cell measures 9.9589, 14.6221 and 4.5535 Å, with angles of 90.00, 90.00 and 90.00 degrees. Symmetry generates all atoms from Cs at (0.0000, 0.0000, 0.0000), Ag at (0.0000, 0.5000, 0.0000), Ag at (0.2500, 0.2500, 0.5000), Br at (0.0000, 0.1883, 0.5000) and Br at (0.1846, 0.3732, 0.0000).

For the formation energy from raw total energies, the calculation gives -0.55 eV per atom. The crystal system is orthorhombic. The value obtained for the magnetic moment is 0.00 μB per formula unit. Its volume is 663.1 Å³ per cell. The value obtained for the energy above the most stable polymorph in this dataset is 9 meV/atom.

[7]
Compound: Cs2AgBr2
Source: the Alexandria database
Functional: PBE-GGA
Structure: optimized geometry

The space group is P4/mbm (No. 127) and the conventional cell measures 9.6424, 9.6424 and 4.6110 Å, with angles of 90.00, 90.00 and 90.00 degrees. Symmetry generates all atoms from Cs at (0.1498, 0.3502, 0.0000), Ag at (0.0000, 0.0000, 0.5000) and Br at (0.1548, 0.6548, 0.5000).

For the formation energy from raw total energies, the calculation gives -0.98 eV per atom. The crystal system is tetragonal. The value obtained for the magnetic moment is 0.00 μB per formula unit. Its volume is 428.7 Å³ per cell. The value obtained for the energy above the most stable polymorph in this dataset is 0 meV/atom.

[8]
Compound: CsAg3Br
Source: the Alexandria database
Functional: PBE-GGA
Structure: optimized geometry

The space group is Pm-3m (No. 221) and the conventional cell measures 6.2361, 6.2361 and 6.2361 Å, with angles of 90.00, 90.00 and 90.00 degrees. Symmetry generates all atoms from Cs at (0.0000, 0.0000, 0.0000), Ag at (0.0000, 0.0000, 0.5000) and Br at (0.5000, 0.5000, 0.5000).

For the formation energy from raw total energies, the calculation gives 1.03 eV per atom. The crystal system is cubic. The value obtained for the magnetic moment is 0.00 μB per formula unit. Its volume is 242.5 Å³ per cell. The value obtained for the energy above the most stable polymorph in this dataset is 618 meV/atom.

[9]
Compound: CsAg2Br3
Source: the Alexandria database
Functional: PBE-GGA
Structure: optimized geometry

The space group is Cmcm (No. 63) and the conventional cell measures 10.5897, 14.1000 and 5.9162 Å, with angles of 90.00, 90.00 and 90.00 degrees. Symmetry generates all atoms from Cs at (0.0000, 0.2159, 0.2500), Ag at (0.1843, 0.5000, 0.0000), Br at (0.0000, 0.3940, 0.7500) and Br at (0.2031, 0.1337, 0.7500).

For the formation energy from raw total energies, the calculation gives -0.84 eV per atom. The crystal system is orthorhombic. The value obtained for the magnetic moment is 0.00 μB per formula unit. Its volume is 883.4 Å³ per cell.

[10]
Compound: Cs3Ag2Br4
Source: the Alexandria database
Functional: PBE-GGA
Structure: optimized geometry

The space group is C2/c (No. 15) and the conventional cell measures 17.7051, 9.5235 and 9.2832 Å, with angles of 90.00, 94.46 and 90.00 degrees. Symmetry generates all atoms from Cs at (0.0000, 0.0228, 0.2500), Cs at (0.1412, 0.4102, 0.8779), Ag at (0.1889, 0.1666, 0.5275), Br at (0.0434, 0.2804, 0.5247) and Br at (0.2056, 0.0459, 0.8160).

For the formation energy from raw total energies, the calculation gives -1.10 eV per atom. The crystal system is monoclinic. The value obtained for the magnetic moment is 0.00 μB per formula unit. Its volume is 1560.5 Å³ per cell.

[11]
Compound: Cs6Ag2Br
Source: the Alexandria database
Functional: PBE-GGA
Structure: optimized geometry

The space group is C2/m (No. 12) and the conventional cell measures 18.1448, 5.3731 and 15.2820 Å, with angles of 90.00, 116.21 and 90.00 degrees. Symmetry generates all atoms from Cs at (0.0031, 0.0000, 0.2443), Cs at (0.1558, 0.5000, 0.0800), Cs at (0.1713, 0.5000, 0.5821), Ag at (0.1653, 0.5000, 0.3312) and Br at (0.0000, 0.0000, 0.0000).

For the formation energy from raw total energies, the calculation gives -0.35 eV per atom. The crystal system is monoclinic. The value obtained for the magnetic moment is 0.00 μB per formula unit. Its volume is 1336.7 Å³ per cell.

[12]
Compound: Cs3Ag2Br9
Source: the Alexandria database
Functional: PBE-GGA
Structure: optimized geometry

The space group is P-3m1 (No. 164) and the conventional cell measures 7.6733, 7.6733 and 9.5712 Å, with angles of 90.00, 90.00 and 120.00 degrees. Symmetry generates all atoms from Cs at (0.0000, 0.0000, 0.0000), Cs at (0.3333, 0.6667, 0.3459), Ag at (0.3333, 0.6667, 0.8327), Br at (0.0000, 0.5000, 0.0000) and Br at (0.1680, 0.3360, 0.6794).

For the formation energy from raw total energies, the calculation gives -0.85 eV per atom. The crystal system is trigonal. The value obtained for the magnetic moment is 0.00 μB per formula unit. Its volume is 488.1 Å³ per cell.

Which value of volume does entry 12 give?
488.1 Å³ per cell